GaFe2Cl: optimized geometry, PBE.

a b c (Å): 6.6469 6.6469 5.8104
angles (deg): 90.00 90.00 90.00
Last column: nearest neighbours and their distance in Å.
Space group I-42d (No. 122)
One atom of each set of equivalent atoms:
Ga 0.0000 0.0000 0.0000  4 Fe 2.58
Fe 0.2244 0.2500 0.6250  2 Cl 2.35, 2 Ga 2.58
Cl 0.0000 0.0000 0.5000  4 Fe 2.35

Volume ... 64 Å³/f.u.
Magnetic moment ... 5.9 μB/f.u.
Relative energy among the computed polymorphs ... 0.0 kJ/mol of formula units
DOS at the Fermi energy ... 17.0 states/eV/cell
E_form (uncorrected) ... 476 meV/atom
Uncorrected energy ... -79.6 eV for the cell shown